SCAN BSeN3, single point on PBEsol structure; formation energy (no corrections) = 2.843 eV per atom
1.0
3.687 0.000 0.000
0.000 3.687 0.000
0.000 0.000 3.687
B Se N
1 1 3
direct
0.000 0.000 0.000
0.500 0.500 0.500
0.000 0.500 0.500
0.500 0.000 0.500
0.500 0.500 0.000


SCAN TaBSeN2, single point on PBEsol structure; formation energy (no corrections) = 1.300 eV per atom; energy above the most stable polymorph in this dataset = 0.366 eV per atom
1.0
3.571 0.000 0.000
0.000 3.571 0.000
0.000 0.000 4.200
Ta B Se N
1 1 1 2
direct
0.000 0.000 0.000
0.500 0.500 0.500
0.500 0.500 0.000
0.000 0.500 0.500
0.500 0.000 0.500


SCAN TaBSeN2, single point on PBEsol structure; formation energy (no corrections) = 0.934 eV per atom; energy above the most stable polymorph in this dataset = 0.000 eV per atom
1.0
3.895 0.000 0.000
0.000 3.895 0.000
0.000 0.000 5.367
Ta B Se N
1 1 1 2
direct
0.000 0.000 0.000
0.500 0.500 0.500
0.000 0.000 0.500
0.000 0.500 0.000
0.500 0.000 0.000


SCAN TcBSeN2, single point on PBEsol structure; formation energy (no corrections) = 1.171 eV per atom
1.0
3.705 0.000 0.000
0.000 3.705 0.000
0.000 0.000 5.235
Tc B Se N
1 1 1 2
direct
0.000 0.000 0.000
0.500 0.500 0.500
0.000 0.000 0.500
0.000 0.500 0.000
0.500 0.000 0.000